Record 1
! Co6Ni12Pd PBE optimized geometry; values from VASP
! VASP energy = -5.811 eV/atom
! formation energy from the elements = 0.357 eV per atom
&SYSTEM
  ibrav = 0, nat = 19, ntyp = 3
/
ATOMIC_SPECIES
Ni 58.69 Ni.upf
Pd 106.42 Pd.upf
Co 58.93 Co.upf
CELL_PARAMETERS angstrom
-0.228 6.278 1.790
-1.158 -3.505 5.389
6.187 -1.216 -1.705
ATOMIC_POSITIONS angstrom
Ni 2.761 4.569 1.342
Pd 0.000 0.000 0.000
Ni 2.000 1.389 0.693
Ni -0.085 3.682 4.091
Ni 2.040 -3.012 4.131
Co 0.807 1.583 4.512
Co 3.994 -0.026 0.962
Ni 0.262 0.848 2.372
Ni 4.886 -2.125 1.383
Ni 2.800 0.168 4.780
Co 0.982 -0.964 3.870
Co 3.437 -1.489 3.079
Ni 5.246 1.666 -0.012
Ni 3.020 2.483 3.928
Ni 4.538 0.710 3.102
Co 3.819 2.522 1.603
Ni -0.446 -0.108 5.485
Co 1.363 3.047 2.395
Ni 1.780 -0.925 1.545

---

Record 2
! Co3Ni6Pd PBE optimized geometry; values from VASP
! VASP energy = -6.107 eV/atom
! formation energy from the elements = 0.013 eV per atom
&SYSTEM
  ibrav = 0, nat = 20, ntyp = 3
/
ATOMIC_SPECIES
Pd 106.42 Pd.upf
Ni 58.69 Ni.upf
Co 58.93 Co.upf
CELL_PARAMETERS angstrom
3.552 0.000 0.000
0.000 8.038 -0.074
0.000 0.121 7.991
ATOMIC_POSITIONS angstrom
Pd 0.888 7.659 4.797
Ni 2.664 5.980 3.922
Co 2.664 5.263 1.534
Ni 2.664 1.364 5.653
Ni 2.664 4.493 7.167
Ni 0.888 3.666 0.750
Ni 2.664 2.949 2.338
Ni 0.888 2.179 3.995
Co 2.664 2.146 7.961
Ni 0.888 0.535 7.244
Ni 0.888 1.307 1.501
Co 2.664 3.684 4.765
Ni 2.664 7.624 0.672
Ni 0.888 5.210 5.579
Co 0.888 2.896 6.382
Ni 2.664 6.852 6.416
Ni 0.888 6.795 2.263
Co 0.888 4.474 3.152
Pd 2.664 0.499 3.119
Co 0.888 6.013 -0.044

---

Record 3
! Co6NiPd PBE optimized geometry; values from VASP
! VASP energy = -6.659 eV/atom
! formation energy from the elements = 0.042 eV per atom
&SYSTEM
  ibrav = 0, nat = 8, ntyp = 3
/
ATOMIC_SPECIES
Co 58.93 Co.upf
Ni 58.69 Ni.upf
Pd 106.42 Pd.upf
CELL_PARAMETERS angstrom
-2.051 2.950 0.027
-3.683 -0.352 -2.334
-4.617 -1.067 4.795
ATOMIC_POSITIONS angstrom
Co -4.944 0.944 -0.608
Co -7.913 1.035 2.793
Co -3.685 1.800 1.470
Ni 0.000 0.000 0.000
Co -5.407 0.587 3.096
Pd -4.150 -0.709 1.231
Co -2.438 0.496 -0.305
Co -6.666 -0.269 1.018

---

Record 4
! Co4NiPd2 PBE optimized geometry; values from VASP
! VASP energy = -6.212 eV/atom
! formation energy from the elements = 0.158 eV per atom
&SYSTEM
  ibrav = 0, nat = 7, ntyp = 3
/
ATOMIC_SPECIES
Co 58.93 Co.upf
Ni 58.69 Ni.upf
Pd 106.42 Pd.upf
CELL_PARAMETERS angstrom
-1.986 1.345 0.985
0.656 -3.380 2.528
5.298 3.586 5.783
ATOMIC_POSITIONS angstrom
Co 0.268 1.069 2.494
Co 2.139 1.780 5.295
Ni 2.649 1.793 2.892
Pd 3.742 3.133 6.678
Co 1.829 -0.229 4.001
Pd 0.227 -1.581 2.618
Co 3.701 0.483 6.802

---

Record 5
! Co2Ni5Pd5 PBE optimized geometry; values from VASP
! VASP energy = -5.722 eV/atom
! formation energy from the elements = 0.035 eV per atom
&SYSTEM
  ibrav = 0, nat = 12, ntyp = 3
/
ATOMIC_SPECIES
Ni 58.69 Ni.upf
Co 58.93 Co.upf
Pd 106.42 Pd.upf
CELL_PARAMETERS angstrom
0.293 3.523 0.969
-7.128 1.656 3.067
3.211 0.265 4.998
ATOMIC_POSITIONS angstrom
Ni -1.510 1.602 1.564
Co -0.763 2.202 6.090
Co -2.861 3.242 2.945
Pd -3.295 2.564 5.539
Ni -1.958 0.960 4.033
Pd 0.000 0.000 0.000
Pd -0.329 2.879 3.496
Ni 1.170 1.255 2.016
Ni -2.114 3.841 7.471
Pd 0.901 4.126 5.525
Pd -4.525 1.317 3.510
Ni -4.794 4.188 7.019

---

Record 6
! Co2NiPd PBE optimized geometry; values from VASP
! VASP energy = -6.191 eV/atom
! formation energy from the elements = 0.105 eV per atom
! E above lowest polymorph = 5.9 kJ/mol of atoms
&SYSTEM
  ibrav = 0, nat = 4, ntyp = 3
/
ATOMIC_SPECIES
Ni 58.69 Ni.upf
Co 58.93 Co.upf
Pd 106.42 Pd.upf
CELL_PARAMETERS angstrom
2.600 0.000 0.000
1.300 2.252 0.000
1.300 0.751 8.385
ATOMIC_POSITIONS angstrom
Ni 0.000 0.000 0.000
Co 1.300 0.751 1.983
Co 3.900 2.252 6.402
Pd 2.600 1.501 4.192

---

Record 7
! CoNi2Pd PBE optimized geometry; values from VASP
! VASP energy = -5.905 eV/atom
! formation energy from the elements = 0.060 eV per atom
! E above lowest polymorph = 3.8 kJ/mol of atoms
&SYSTEM
  ibrav = 0, nat = 4, ntyp = 3
/
ATOMIC_SPECIES
Co 58.93 Co.upf
Pd 106.42 Pd.upf
Ni 58.69 Ni.upf
CELL_PARAMETERS angstrom
-1.383 0.513 -2.155
-2.603 -0.206 0.039
-1.924 8.056 1.571
ATOMIC_POSITIONS angstrom
Co -2.955 4.183 -0.272
Pd -4.582 8.260 0.161
Ni -1.765 5.934 0.964
Ni -1.488 2.224 -0.098

---

Record 8
! CoNi2Pd PBE optimized geometry; values from VASP
! VASP energy = -5.780 eV/atom
! formation energy from the elements = 0.185 eV per atom
! E above lowest polymorph = 15.9 kJ/mol of atoms
&SYSTEM
  ibrav = 0, nat = 8, ntyp = 3
/
ATOMIC_SPECIES
Pd 106.42 Pd.upf
Co 58.93 Co.upf
Ni 58.69 Ni.upf
CELL_PARAMETERS angstrom
-1.273 -3.477 0.175
1.845 1.105 -4.129
5.760 -2.006 2.036
ATOMIC_POSITIONS angstrom
Pd 4.724 -3.791 -1.869
Co 1.472 -2.588 -1.638
Pd 1.608 -0.587 -0.050
Ni 1.214 -0.577 -2.852
Co 4.859 -1.790 -0.280
Ni 5.118 -3.800 0.934
Ni 3.441 -1.353 -2.065
Ni 2.890 -3.025 0.146

---

Record 9
! CoNi9Pd2 PBE optimized geometry; values from VASP
! VASP energy = -5.766 eV/atom
! formation energy from the elements = 0.028 eV per atom
&SYSTEM
  ibrav = 0, nat = 12, ntyp = 3
/
ATOMIC_SPECIES
Ni 58.69 Ni.upf
Pd 106.42 Pd.upf
Co 58.93 Co.upf
CELL_PARAMETERS angstrom
-2.696 2.401 0.058
-1.741 -2.013 2.439
4.951 5.366 7.964
ATOMIC_POSITIONS angstrom
Ni 1.128 3.884 4.011
Ni 1.108 3.800 6.600
Ni 2.827 5.726 6.745
Ni -0.095 -0.166 2.468
Ni -0.572 2.042 1.277
Pd 1.634 1.771 2.628
Ni 3.305 3.519 7.936
Ni -2.219 0.194 1.249
Ni 1.605 1.677 5.202
Co 0.000 0.000 0.000
Pd 3.317 3.595 5.336
Ni -0.594 1.954 3.861

---

Record 10
! CoNi8Pd4 PBE optimized geometry; values from VASP
! VASP energy = -5.656 eV/atom
! formation energy from the elements = 0.046 eV per atom
&SYSTEM
  ibrav = 0, nat = 13, ntyp = 3
/
ATOMIC_SPECIES
Co 58.93 Co.upf
Ni 58.69 Ni.upf
Pd 106.42 Pd.upf
CELL_PARAMETERS angstrom
-2.523 -2.391 -1.203
7.220 -7.621 -5.622
0.347 -4.107 1.812
ATOMIC_POSITIONS angstrom
Co 6.128 -12.786 -4.312
Ni 6.252 -10.207 -4.077
Pd 2.532 -7.660 -1.335
Pd 0.841 -3.832 0.230
Ni 0.238 -4.872 -2.064
Ni 4.451 -8.973 -2.750
Ni 3.980 -7.440 -4.811
Ni 2.653 -5.088 -1.075
Ni -1.563 -3.638 -0.739
Ni 2.035 -8.757 -3.737
Pd 3.848 -10.012 -5.044
Ni 0.709 -6.405 -0.004
Pd 2.156 -6.185 -3.478